No. 1
VASP calculation (PBE) on an optimized crystal structure of Na2TaCu.

The structure in POSCAR format:
```
Na2TaCu
1.0
8.176 0.000 0.000
0.000 8.176 0.000
4.088 4.088 2.598
Na Cu Ta
4 2 2
direct
0.579 0.125 0.250
0.171 0.625 0.250
0.375 0.421 0.750
0.875 0.829 0.750
0.500 0.500 0.000
0.250 0.750 0.500
0.000 0.000 0.000
0.750 0.250 0.500
```

Results
Its space-group type is I-42d (122).

---

No. 2
VASP calculation (PBE) on an optimized crystal structure of ZnPdCl2.

The structure in POSCAR format:
```
ZnPdCl2
1.0
2.015 0.000 7.644
-1.008 1.745 7.644
-1.008 -1.745 7.644
Zn Pd Cl
1 1 2
direct
0.500 0.500 0.500
0.000 0.000 0.000
0.897 0.897 0.897
0.103 0.103 0.103
```

Results
The value obtained for the formation energy (no corrections) is -0.32 eV per atom. Its space-group type is R-3m (166).

---

| no. | total DFT energy (no corrections) (eV per cell) | offset from the most stable computed form (meV per atom) |
| --- | --- | --- |
| 1 | -27.1 | 0 |
| 2 | -11.4 | 0 |